Record 1
DFT (PBEsol) results for a relaxed structure of ScGaHg2Pd.

As for the formation energy: 0.42 eV per formula unit. The value obtained for the magnetization is 0.000 μB per formula unit.

It has space group P4/mmm (No. 123), with a = 5.050 Å, b = 5.050 Å, c = 4.605 Å, α = 90.00°, β = 90.00° and γ = 90.00°. Symmetry generates all atoms from Sc at (0.000, 0.000, 0.000), Ga at (0.500, 0.500, 0.000), Hg at (0.000, 0.500, 0.500) and Pd at (0.500, 0.500, 0.500).


Record 2
DFT (PBEsol) results for a relaxed structure of Sc2GaHgPt.

As for the formation energy: 2.56 eV per formula unit. The value obtained for the magnetization is 0.000 μB per formula unit.

It has space group P4/mmm (No. 123), with a = 5.114 Å, b = 5.114 Å, c = 4.942 Å, α = 90.00°, β = 90.00° and γ = 90.00°. Symmetry generates all atoms from Sc at (0.000, 0.500, 0.000), Ga at (0.000, 0.000, 0.500), Hg at (0.500, 0.500, 0.000) and Pt at (0.500, 0.500, 0.500).


Record 3
DFT (PBEsol) results for a relaxed structure of ZnGaHg2Pt.

As for the formation energy: 0.99 eV per formula unit. The value obtained for the magnetization is 0.000 μB per formula unit.

It has space group P4/mmm (No. 123), with a = 5.191 Å, b = 5.191 Å, c = 4.728 Å, α = 90.00°, β = 90.00° and γ = 90.00°. Symmetry generates all atoms from Zn at (0.000, 0.000, 0.000), Ga at (0.500, 0.500, 0.000), Hg at (0.000, 0.500, 0.500) and Pt at (0.000, 0.000, 0.500).


Record 4
DFT (PBEsol) results for a relaxed structure of Rb2GaHg.

As for the formation energy: 0.62 eV per formula unit. The value obtained for the magnetization is 0.018 μB per formula unit.

It has space group Fm-3m (No. 225), with a = 8.401 Å, b = 8.401 Å, c = 8.401 Å, α = 90.00°, β = 90.00° and γ = 90.00°. Symmetry generates all atoms from Rb at (0.250, 0.250, 0.250), Ga at (0.000, 0.000, 0.000) and Hg at (0.000, 0.000, 0.500).


Record 5
DFT (PBEsol) results for a relaxed structure of SrGaRe2Hg.

As for the formation energy: 9.76 eV per formula unit. The value obtained for the magnetization is 4.505 μB per formula unit.

It has space group P4/mmm (No. 123), with a = 5.125 Å, b = 5.125 Å, c = 4.832 Å, α = 90.00°, β = 90.00° and γ = 90.00°. Symmetry generates all atoms from Sr at (0.000, 0.000, 0.000), Ga at (0.500, 0.500, 0.000), Re at (0.000, 0.500, 0.500) and Hg at (0.500, 0.500, 0.500).


Record 6
DFT (PBEsol) results for a relaxed structure of Ga3HgS.

The calculation puts the formation energy without anion corrections at 0.290 eV/atom. The value obtained for the magnetization is 0.000 μB per formula unit.

It has space group Pm-3m (No. 221), with a = 4.800 Å, b = 4.800 Å, c = 4.800 Å, α = 90.00°, β = 90.00° and γ = 90.00°. Symmetry generates all atoms from Ga at (0.000, 0.000, 0.500), Hg at (0.500, 0.500, 0.500) and S at (0.000, 0.000, 0.000).


Record 7
DFT (PBEsol) results for a relaxed structure of Ga2HgS.

The calculation puts the formation energy without anion corrections at 0.032 eV/atom. The value obtained for the magnetization is 0.000 μB per formula unit.

It has space group Fm-3m (No. 225), with a = 6.858 Å, b = 6.858 Å, c = 6.858 Å, α = 90.00°, β = 90.00° and γ = 90.00°. Symmetry generates all atoms from Ga at (0.250, 0.250, 0.250), Hg at (0.000, 0.000, 0.000) and S at (0.000, 0.000, 0.500).


Record 8
DFT (PBEsol) results for a relaxed structure of GaHgSb3.

The calculation puts the formation energy without anion corrections at 0.802 eV/atom. The value obtained for the magnetization is 0.000 μB per formula unit.

It has space group Pm-3m (No. 221), with a = 5.497 Å, b = 5.497 Å, c = 5.497 Å, α = 90.00°, β = 90.00° and γ = 90.00°. Symmetry generates all atoms from Ga at (0.000, 0.000, 0.000), Hg at (0.500, 0.500, 0.500) and Sb at (0.000, 0.500, 0.500).


Record 9
DFT (PBEsol) results for a relaxed structure of SrGaHg2Sb.

The calculation puts the formation energy without anion corrections at -0.241 eV/atom. The value obtained for the magnetization is 0.000 μB per formula unit.

It has space group P4/mmm (No. 123), with a = 5.096 Å, b = 5.096 Å, c = 5.641 Å, α = 90.00°, β = 90.00° and γ = 90.00°. Symmetry generates all atoms from Sr at (0.000, 0.000, 0.000), Ga at (0.500, 0.500, 0.500), Hg at (0.000, 0.500, 0.500) and Sb at (0.500, 0.500, 0.000).


Record 10
DFT (PBEsol) results for a relaxed structure of GaHgSb2Te.

The calculation puts the formation energy without anion corrections at 0.718 eV/atom. The value obtained for the magnetization is 0.002 μB per formula unit.

It has space group P4/mmm (No. 123), with a = 5.440 Å, b = 5.440 Å, c = 5.690 Å, α = 90.00°, β = 90.00° and γ = 90.00°. Symmetry generates all atoms from Ga at (0.000, 0.000, 0.000), Hg at (0.500, 0.500, 0.500), Sb at (0.000, 0.500, 0.500) and Te at (0.500, 0.500, 0.000).


Record 11
DFT (PBEsol) results for a relaxed structure of ScGaHg.

As for the formation energy: -1.63 eV per formula unit. The value obtained for the magnetization is 0.000 μB per formula unit.

It has space group P-6m2 (No. 187), with a = 4.4218 Å, b = 4.4218 Å, c = 6.8285 Å, α = 90.00°, β = 90.00° and γ = 120.00°. Symmetry generates all atoms from Sc at (0.0000, 0.0000, 0.0000), Sc at (0.0000, 0.0000, 0.5000), Ga at (0.6667, 0.3333, 0.1984) and Hg at (0.3333, 0.6667, 0.2856).


Record 12
DFT (PBEsol) results for a relaxed structure of Ga2Hg5Se8.

The calculation puts the formation energy without anion corrections at -0.322 eV/atom. The value obtained for the magnetization is 0.000 μB per formula unit.

It has space group I-4m2 (No. 119), with a = 8.376 Å, b = 8.376 Å, c = 11.508 Å, α = 90.00°, β = 90.00° and γ = 90.00°. Symmetry generates all atoms from Ga at (0.000, 0.000, 0.249), Hg at (0.000, 0.500, 0.750), Hg at (0.225, 0.225, 0.000), Se at (0.000, 0.236, 0.624) and Se at (0.000, 0.258, 0.154).